PrDyAgAu | Alexandria via LeMat-Bulk | PBE-GGA | optimized geometry; total magnetic moment = 0.00 μB per formula unit; final energy = -4.405 eV per atom; DFT formation energy = -0.53 eV per atom; excess energy over the best structure of this formula in the dataset = 30 meV/atom; space group = F-43m
1.0
-0.4272 2.2857 -4.6736
3.8060 -0.5468 -3.5306
-0.7928 -2.9055 -4.2637
Pr Au Ag Dy
1 1 1 1
Direct
0.5000 0.5000 0.5000
0.7500 0.7500 0.7500
0.2500 0.2500 0.2500
0.0000 0.0000 0.0000

DyPuAgAu | Alexandria via LeMat-Bulk | PBE-GGA | optimized geometry; total magnetic moment = 5.74 μB per formula unit; final energy = -6.600 eV per atom; DFT formation energy = -0.33 eV per atom; space group = F-43m
1.0
5.1477 0.0000 0.0000
2.5738 4.4580 0.0000
2.5738 1.4860 4.2031
Dy Au Ag Pu
1 1 1 1
Direct
0.5000 0.5000 0.5000
0.7500 0.7500 0.7500
0.2500 0.2500 0.2500
0.0000 0.0000 0.0000

DyAgRhAu | Alexandria via LeMat-Bulk | PBE-GGA | optimized geometry; total magnetic moment = 0.00 μB per formula unit; final energy = -5.087 eV per atom; DFT formation energy = -0.57 eV per atom; excess energy over the best structure of this formula in the dataset = 0 meV/atom; space group = Pmmm
1.0
4.0368 0.0000 0.0000
0.0000 4.1095 0.0000
0.0000 0.0000 4.4681
Dy Ag Rh Au
1 1 1 1
Direct
0.0000 0.5000 0.5000
0.0000 0.0000 0.0000
0.5000 0.0000 0.5000
0.5000 0.5000 0.0000

DyAgRhAu | Alexandria via LeMat-Bulk | PBE-GGA | optimized geometry; total magnetic moment = 0.00 μB per formula unit; final energy = -4.955 eV per atom; DFT formation energy = -0.43 eV per atom; excess energy over the best structure of this formula in the dataset = 132 meV/atom; space group = F-43m
1.0
4.7661 0.0000 0.0000
2.3831 4.1276 0.0000
2.3831 1.3759 3.8915
Rh Au Ag Dy
1 1 1 1
Direct
0.7500 0.7500 0.7500
0.2500 0.2500 0.2500
0.5000 0.5000 0.5000
0.0000 0.0000 0.0000

Dy4AgRuAu2 | Alexandria via LeMat-Bulk | PBE-GGA | optimized geometry; total magnetic moment = 0.00 μB per formula unit; final energy = -5.243 eV per atom; DFT formation energy = -0.61 eV per atom; space group = R-3m
1.0
-0.8966 3.3365 3.6844
-2.0766 -1.5303 4.3424
6.4515 -0.7875 5.7451
Dy Ag Ru Au
4 1 1 2
Direct
0.3816 0.3816 0.8553
0.8693 0.8693 0.3920
0.1307 0.1307 0.6080
0.6184 0.6184 0.1447
0.0000 0.0000 0.0000
0.5000 0.5000 0.5000
0.7456 0.7456 0.7633
0.2544 0.2544 0.2367

DyAgSnAu | Alexandria via LeMat-Bulk | PBE-GGA | optimized geometry; total magnetic moment = 0.00 μB per formula unit; final energy = -4.212 eV per atom; DFT formation energy = -0.53 eV per atom; space group = F-43m
1.0
-1.4447 -4.0633 2.4777
1.3474 -4.5072 -1.6142
3.3279 -2.6660 2.5600
Au Sn Ag Dy
1 1 1 1
Direct
0.0000 0.0000 0.0000
0.2500 0.2500 0.2500
0.5000 0.5000 0.5000
0.7500 0.7500 0.7500

Please write out number 1 again, unchanged.
PrDyAgAu | Alexandria via LeMat-Bulk | PBE-GGA | optimized geometry; total magnetic moment = 0.00 μB per formula unit; final energy = -4.405 eV per atom; DFT formation energy = -0.53 eV per atom; excess energy over the best structure of this formula in the dataset = 30 meV/atom; space group = F-43m
1.0
-0.4272 2.2857 -4.6736
3.8060 -0.5468 -3.5306
-0.7928 -2.9055 -4.2637
Pr Au Ag Dy
1 1 1 1
Direct
0.5000 0.5000 0.5000
0.7500 0.7500 0.7500
0.2500 0.2500 0.2500
0.0000 0.0000 0.0000